Record 1
GGA-PBE CdRu3, relaxed; V = 61.05 Å³ per cell; energy relative to the elements = 0.255 eV per atom; space-group type = R-3m, No. 166
1.0
-1.8144 2.0964 0.0316
-0.3051 -2.1241 1.7559
5.6653 2.9676 6.7636
Ru Cd
3 1
Direct
0.7562 0.2438 0.2687
0.2438 0.7562 0.7313
0.5000 0.5000 0.5000
0.0000 0.0000 0.0000

***

Record 2
GGA-PBE Cd8Ru, relaxed; V = 184.07 Å³ per cell; energy relative to the elements = 0.122 eV per atom; space-group type = I4/mmm, No. 139
1.0
-4.6899 4.6899 2.0921
4.6899 -4.6899 2.0921
4.6899 4.6899 -2.0921
Cd Ru
8 1
Direct
0.3410 0.3410 0.6819
0.3263 0.0000 0.3263
0.0000 0.6737 0.6737
0.6737 0.0000 0.6737
0.6590 0.3410 0.0000
0.0000 0.3263 0.3263
0.3410 0.6590 0.0000
0.6590 0.6590 0.3181
0.0000 0.0000 0.0000

***

Record 3
GGA-PBE Cd5Ru4, relaxed; V = 156.48 Å³ per cell; energy relative to the elements = 0.268 eV per atom; space-group type = I4/mmm, No. 139
1.0
1.0796 -4.5425 -4.4863
1.9411 2.0185 5.8382
-5.7064 -2.3448 1.9662
Cd Ru
5 4
Direct
0.6714 0.3286 0.0000
0.0000 0.0000 0.0000
0.6714 0.6714 0.3429
0.3286 0.3286 0.6571
0.3286 0.6714 0.0000
0.0000 0.3551 0.3551
0.6449 0.0000 0.6449
0.0000 0.6449 0.6449
0.3551 0.0000 0.3551

***

Record 4
GGA-PBE CdRu3, relaxed; V = 61.13 Å³ per cell; energy relative to the elements = 0.167 eV per atom; space-group type = P-6m2, No. 187
1.0
2.7968 0.0000 0.0000
-1.3984 2.4221 0.0000
0.0000 0.0000 9.0240
Cd Ru
1 3
Direct
0.0000 0.0000 0.0000
0.3333 0.6667 0.2724
0.0000 0.0000 0.5000
0.3333 0.6667 0.7276

***

Record 5
GGA-PBE CdRu3, relaxed; V = 62.04 Å³ per cell; energy relative to the elements = 0.595 eV per atom; space-group type = P4/mmm, No. 123
1.0
-1.0508 -4.5226 -0.1980
3.1465 -0.8758 3.3060
-2.0118 0.3792 2.0152
Cd Ru
1 3
Direct
0.0000 0.0000 0.0000
0.0000 0.5000 0.5000
0.5000 0.0000 0.5000
0.5000 0.5000 0.0000

***

Record 6
GGA-PBE CdRu2, relaxed; V = 110.57 Å³ per cell; energy relative to the elements = 0.732 eV per atom; space-group type = I4_1/amd, No. 141; ΔE to the lowest computed polymorph = 0.559 eV/atom
1.0
-1.3706 0.9447 8.0560
-2.1986 5.6053 5.6051
-0.7764 -3.9194 -7.1907
Ru Cd
4 2
Direct
0.5776 0.5776 0.0000
0.3276 0.8276 0.5000
0.4224 0.4224 0.0000
0.1724 0.6724 0.5000
0.0000 0.0000 0.0000
0.7500 0.2500 0.5000

***

Record 7
GGA-PBE Cd5Ru, relaxed; V = 119.74 Å³ per cell; energy relative to the elements = 0.153 eV per atom; space-group type = Cm, No. 8; ΔE to the lowest computed polymorph = 0.020 eV/atom
1.0
1.5223 5.6520 0.0339
-1.5223 5.6520 0.0339
0.0000 2.0414 6.9702
Cd Ru
5 1
Direct
0.9477 0.9477 0.6139
0.3251 0.3251 0.3304
0.9890 0.9890 0.9944
0.6788 0.6788 0.6915
0.6139 0.6139 0.2533
0.2789 0.2789 0.9499

***

Record 8
GGA-PBE CdRu3, relaxed; V = 61.29 Å³ per cell; energy relative to the elements = 0.483 eV per atom; space-group type = Cmmm, No. 65
1.0
4.8717 0.0089 0.0000
-1.7624 4.5417 0.0000
0.0000 0.0000 2.7683
Ru Cd
3 1
Direct
0.0000 0.5000 0.5000
0.5000 0.0000 0.5000
0.5000 0.5000 0.0000
0.0000 0.0000 0.0000